This record from Alexandria via LeMat-Bulk describes a PBEsol-optimized structure of FeIr. The functional is meta-GGA SCAN.

The structure in CIF format:
```
data_FeIr
_cell_length_a 9.252
_cell_length_b 2.625
_cell_length_c 4.450
_cell_angle_alpha 90.00
_cell_angle_beta 116.51
_cell_angle_gamma 90.00
_symmetry_space_group_name_H-M 'C 1 2/m 1'
_symmetry_Int_Tables_number 12
loop_
_symmetry_equiv_pos_as_xyz
'x,y,z'
'-x,-y,-z'
'-x,y,-z'
'x,-y,z'
'x+1/2,y+1/2,z'
'-x+1/2,-y+1/2,-z'
'-x+1/2,y+1/2,-z'
'x+1/2,-y+1/2,z'
loop_
_atom_site_label
_atom_site_type_symbol
_atom_site_fract_x
_atom_site_fract_y
_atom_site_fract_z
Fe1 Fe 0.130 0.000 0.298
Ir1 Ir 0.121 0.500 0.794
```

Properties
**E_form**: -0.049 eV/atom

=====

This record from Alexandria via LeMat-Bulk describes a PBEsol-optimized structure of Fe5Ir4. The functional is meta-GGA SCAN.

The structure in CIF format:
```
data_Fe5Ir4
_cell_length_a 7.667
_cell_length_b 7.667
_cell_length_c 3.714
_cell_angle_alpha 90.00
_cell_angle_beta 90.00
_cell_angle_gamma 90.00
_symmetry_space_group_name_H-M 'I 4/m m m'
_symmetry_Int_Tables_number 139
_symmetry_space_group_name_Hall '-I 4 2'
loop_
_atom_site_label
_atom_site_type_symbol
_atom_site_fract_x
_atom_site_fract_y
_atom_site_fract_z
Fe1 Fe 0.000 0.000 0.000
Fe2 Fe 0.161 0.161 0.500
Ir1 Ir 0.000 0.323 0.000
```

Properties
**E_form**: -0.082 eV/atom

=====

This record from Alexandria via LeMat-Bulk describes a PBEsol-optimized structure of FeIr4. The functional is meta-GGA SCAN.

The structure in CIF format:
```
data_FeIr4
_cell_length_a 5.973
_cell_length_b 5.973
_cell_length_c 3.795
_cell_angle_alpha 90.00
_cell_angle_beta 90.00
_cell_angle_gamma 90.00
_symmetry_space_group_name_H-M 'I 4/m'
_symmetry_Int_Tables_number 87
_symmetry_space_group_name_Hall '-I 4'
loop_
_atom_site_label
_atom_site_type_symbol
_atom_site_fract_x
_atom_site_fract_y
_atom_site_fract_z
Fe1 Fe 0.000 0.000 0.000
Ir1 Ir 0.103 0.298 0.500
```

Properties
**E_form**: -0.124 eV/atom

=====

This record from Alexandria via LeMat-Bulk describes a PBEsol-optimized structure of Fe4Ir3. The functional is meta-GGA SCAN.

The structure in CIF format:
```
data_Fe4Ir3
_cell_length_a 2.798
_cell_length_b 2.798
_cell_length_c 22.157
_cell_angle_alpha 90.00
_cell_angle_beta 90.00
_cell_angle_gamma 90.00
_symmetry_space_group_name_H-M 'I 4/m m m'
_symmetry_Int_Tables_number 139
_symmetry_space_group_name_Hall '-I 4 2'
loop_
_atom_site_label
_atom_site_type_symbol
_atom_site_fract_x
_atom_site_fract_y
_atom_site_fract_z
Fe1 Fe 0.000 0.000 0.074
Fe2 Fe 0.000 0.000 0.366
Ir1 Ir 0.000 0.000 0.207
Ir2 Ir 0.000 0.000 0.500
```

Properties
**E_form**: -0.117 eV/atom

=====

This record from Alexandria via LeMat-Bulk describes a PBEsol-optimized structure of FeIr. The functional is meta-GGA SCAN.

The structure in CIF format:
```
data_FeIr
_cell_length_a 3.650
_cell_length_b 3.650
_cell_length_c 7.460
_cell_angle_alpha 90.00
_cell_angle_beta 90.00
_cell_angle_gamma 90.00
_symmetry_space_group_name_H-M 'I 41/a m d'
_symmetry_Int_Tables_number 141
loop_
_symmetry_equiv_pos_as_xyz
'x,y,z'
'-x,-y,-z'
'-y+1/4,x+3/4,z+1/4'
'y+1/4,-x+3/4,-z+1/4'
'-x+1/2,-y,z+1/2'
'x+1/2,y,-z+1/2'
'y+1/4,-x+1/4,z+3/4'
'-y+1/4,x+1/4,-z+3/4'
'x,-y,-z'
'-x,y,z'
'-y+1/4,-x+1/4,-z+3/4'
'y+1/4,x+1/4,z+3/4'
'-x+1/2,y,-z+1/2'
'x+1/2,-y,z+1/2'
'y+1/4,x+3/4,-z+1/4'
'-y+1/4,-x+3/4,z+1/4'
'x+1/2,y+1/2,z+1/2'
'-x+1/2,-y+1/2,-z+1/2'
'-y+3/4,x+1/4,z+3/4'
'y+3/4,-x+1/4,-z+3/4'
'-x,-y+1/2,z'
'x,y+1/2,-z'
'y+3/4,-x+3/4,z+1/4'
'-y+3/4,x+3/4,-z+1/4'
'x+1/2,-y+1/2,-z+1/2'
'-x+1/2,y+1/2,z+1/2'
'-y+3/4,-x+3/4,-z+1/4'
'y+3/4,x+3/4,z+1/4'
'-x,y+1/2,-z'
'x,-y+1/2,z'
'y+3/4,x+1/4,-z+3/4'
'-y+3/4,-x+1/4,z+3/4'
loop_
_atom_site_label
_atom_site_type_symbol
_atom_site_fract_x
_atom_site_fract_y
_atom_site_fract_z
Fe1 Fe 0.000 0.250 0.375
Ir1 Ir 0.000 0.250 0.875
```

Properties
**E_form**: -0.148 eV/atom

=====

This record from Alexandria via LeMat-Bulk describes a PBEsol-optimized structure of K2FeIr. The functional is meta-GGA SCAN.

The structure in CIF format:
```
data_K2FeIr
_cell_length_a 4.318
_cell_length_b 4.318
_cell_length_c 5.230
_cell_angle_alpha 90.00
_cell_angle_beta 90.00
_cell_angle_gamma 90.00
_symmetry_space_group_name_H-M 'P 4/m m m'
_symmetry_Int_Tables_number 123
_symmetry_space_group_name_Hall '-P 4 2'
loop_
_atom_site_label
_atom_site_type_symbol
_atom_site_fract_x
_atom_site_fract_y
_atom_site_fract_z
K1 K 0.000 0.000 0.247
Fe1 Fe 0.500 0.500 0.500
Ir1 Ir 0.500 0.500 0.000
```

Properties
**E_form**: 1.158 eV/atom
**Offset from the most stable computed form**: 63 meV per atom

=====

This record from Alexandria via LeMat-Bulk describes a PBEsol-optimized structure of K2FeIr. The functional is meta-GGA SCAN.

The structure in CIF format:
```
data_K2FeIr
_cell_length_a 2.731
_cell_length_b 2.731
_cell_length_c 10.967
_cell_angle_alpha 90.00
_cell_angle_beta 90.00
_cell_angle_gamma 90.00
_symmetry_space_group_name_H-M 'P 4/m m m'
_symmetry_Int_Tables_number 123
_symmetry_space_group_name_Hall '-P 4 2'
loop_
_atom_site_label
_atom_site_type_symbol
_atom_site_fract_x
_atom_site_fract_y
_atom_site_fract_z
K1 K 0.000 0.000 0.236
Fe1 Fe 0.500 0.500 0.500
Ir1 Ir 0.500 0.500 0.000
```

Properties
**E_form**: 1.095 eV/atom
**Offset from the most stable computed form**: 0 meV per atom

=====

This record from Alexandria via LeMat-Bulk describes a PBEsol-optimized structure of LaFeIr. The functional is meta-GGA SCAN.

The structure in CIF format:
```
data_LaFeIr
_cell_length_a 6.202
_cell_length_b 6.202
_cell_length_c 6.202
_cell_angle_alpha 90.00
_cell_angle_beta 90.00
_cell_angle_gamma 90.00
_symmetry_space_group_name_H-M 'F -4 3 m'
_symmetry_Int_Tables_number 216
_symmetry_space_group_name_Hall 'F -4 2 3'
loop_
_atom_site_label
_atom_site_type_symbol
_atom_site_fract_x
_atom_site_fract_y
_atom_site_fract_z
La1 La 0.000 0.000 0.000
Fe1 Fe 0.250 0.250 0.750
Ir1 Ir 0.000 0.000 0.500
```

Properties
**E_form**: 0.073 eV/atom

=====

This record from Alexandria via LeMat-Bulk describes a PBEsol-optimized structure of Li2FeIr. The functional is meta-GGA SCAN.

The structure in CIF format:
```
data_Li2FeIr
_cell_length_a 3.480
_cell_length_b 3.480
_cell_length_c 4.185
_cell_angle_alpha 90.00
_cell_angle_beta 90.00
_cell_angle_gamma 90.00
_symmetry_space_group_name_H-M 'P 4/m m m'
_symmetry_Int_Tables_number 123
_symmetry_space_group_name_Hall '-P 4 2'
loop_
_atom_site_label
_atom_site_type_symbol
_atom_site_fract_x
_atom_site_fract_y
_atom_site_fract_z
Li1 Li 0.000 0.500 0.000
Fe1 Fe 0.000 0.000 0.500
Ir1 Ir 0.500 0.500 0.500
```

Properties
**E_form**: -0.062 eV/atom

=====

This record from Alexandria via LeMat-Bulk describes a PBEsol-optimized structure of Li2FeIr. The functional is meta-GGA SCAN.

The structure in CIF format:
```
data_Li2FeIr
_cell_length_a 5.035
_cell_length_b 8.896
_cell_length_c 2.533
_cell_angle_alpha 90.00
_cell_angle_beta 118.25
_cell_angle_gamma 90.00
_symmetry_space_group_name_H-M 'C 1 2/m 1'
_symmetry_Int_Tables_number 12
loop_
_symmetry_equiv_pos_as_xyz
'x,y,z'
'-x,-y,-z'
'-x,y,-z'
'x,-y,z'
'x+1/2,y+1/2,z'
'-x+1/2,-y+1/2,-z'
'-x+1/2,y+1/2,-z'
'x+1/2,-y+1/2,z'
loop_
_atom_site_label
_atom_site_type_symbol
_atom_site_fract_x
_atom_site_fract_y
_atom_site_fract_z
Li1 Li 0.250 0.250 0.000
Fe1 Fe 0.000 0.000 0.500
Ir1 Ir 0.000 0.500 0.500
```

Properties
**E_form**: -0.135 eV/atom

=====

This record from Alexandria via LeMat-Bulk describes a PBEsol-optimized structure of MgFeIr2. The functional is meta-GGA SCAN.

The structure in CIF format:
```
data_MgFeIr2
_cell_length_a 4.257
_cell_length_b 4.257
_cell_length_c 2.996
_cell_angle_alpha 90.00
_cell_angle_beta 90.00
_cell_angle_gamma 90.00
_symmetry_space_group_name_H-M 'P 4/m m m'
_symmetry_Int_Tables_number 123
_symmetry_space_group_name_Hall '-P 4 2'
loop_
_atom_site_label
_atom_site_type_symbol
_atom_site_fract_x
_atom_site_fract_y
_atom_site_fract_z
Mg1 Mg 0.000 0.000 0.000
Fe1 Fe 0.500 0.500 0.000
Ir1 Ir 0.000 0.500 0.500
```

Properties
**E_form**: -0.337 eV/atom

=====

This record from Alexandria via LeMat-Bulk describes a PBEsol-optimized structure of MgFe2Ir. The functional is meta-GGA SCAN.

The structure in CIF format:
```
data_MgFe2Ir
_cell_length_a 2.6784
_cell_length_b 2.6784
_cell_length_c 25.9739
_cell_angle_alpha 90.00
_cell_angle_beta 90.00
_cell_angle_gamma 120.00
_symmetry_space_group_name_H-M 'R -3 m'
_symmetry_Int_Tables_number 166
_symmetry_space_group_name_Hall '-R 3 2"'
loop_
_atom_site_label
_atom_site_type_symbol
_atom_site_fract_x
_atom_site_fract_y
_atom_site_fract_z
Mg1 Mg 0.0000 0.0000 0.0000
Fe1 Fe 0.0000 0.0000 0.2466
Ir1 Ir 0.0000 0.0000 0.5000
```

Properties
**E_form**: 0.126 eV/atom